No. 1
Ho3UIn3Se8: relaxed, PBE.

Unit cell a=9.1194 b=9.1194 c=9.1194 alpha=53.70 beta=53.70 gamma=53.70
Closest atoms and distances in Å follow each position.
Positions (direct):
Ho1 0.0000 0.5000 0.5000  6 Se 2.87
Ho2 0.5000 0.0000 0.5000  6 Se 2.87
Ho3 0.5000 0.5000 0.0000  6 Se 2.87
U1 0.0000 0.0000 0.0000  6 Se 2.84
In1 0.0000 0.0000 0.5000  6 Se 3.30
In2 0.0000 0.5000 0.0000  6 Se 3.30
In3 0.5000 0.0000 0.0000  6 Se 3.30
Se1 0.2334 0.2334 0.7380  1 U 2.84, 2 Ho 2.87
Se2 0.2334 0.7380 0.2334  1 U 2.84, 2 Ho 2.87
Se3 0.2620 0.7666 0.7666  1 U 2.84, 2 Ho 2.87
Se4 0.2646 0.2646 0.2646  3 Ho 2.87
Se5 0.7354 0.7354 0.7354  3 Ho 2.87
Se6 0.7380 0.2334 0.2334  1 U 2.84, 2 Ho 2.87
Se7 0.7666 0.2620 0.7666  1 U 2.84, 2 Ho 2.87
Se8 0.7666 0.7666 0.2620  1 U 2.84, 2 Ho 2.87

Results
The total energy is -5.34 eV/atom. The uncorrected formation energy comes out at -1263 meV per atom. The calculation puts the size of the total moment at 1.999 μB/f.u. Its density is 6.21 g/cm3. As for the symmetry: R-3m (166).



No. 2
YHo2In3Se6: relaxed, PBE.

Unit cell a=7.1691 b=7.1691 c=8.1045 alpha=98.48 beta=98.48 gamma=120.00
Closest atoms and distances in Å follow each position.
Positions (direct):
Y1 0.0000 0.0000 0.0000  6 Se 2.89
Ho1 0.3333 0.6667 0.0000  6 Se 2.88
Ho2 0.6667 0.3333 0.0000  6 Se 2.88
In1 0.1662 0.8338 0.5000  6 Se 3.29-3.30
In2 0.5000 0.5000 0.5000  6 Se 3.28-3.29
In3 0.8338 0.1662 0.5000  6 Se 3.29-3.30
Se1 0.0693 0.4042 0.2079  2 Ho 2.88, 1 Y 2.89
Se2 0.2658 0.2658 0.7925  2 Ho 2.88, 1 Y 2.89
Se3 0.4042 0.0693 0.2079  2 Ho 2.88, 1 Y 2.89
Se4 0.5958 0.9307 0.7921  2 Ho 2.88, 1 Y 2.89
Se5 0.7342 0.7342 0.2075  2 Ho 2.88, 1 Y 2.89
Se6 0.9307 0.5958 0.7921  2 Ho 2.88, 1 Y 2.89

Results
The total energy is -5.03 eV/atom. The uncorrected formation energy comes out at -1302 meV per atom. The calculation puts the size of the total moment at 0.000 μB/f.u. Its density is 5.96 g/cm3. As for the symmetry: C2/m (12).



No. 3
Ho3ZrIn3Se8: relaxed, PBE.

Unit cell a=9.0698 b=9.0698 c=9.0698 alpha=53.10 beta=53.10 gamma=53.10
Closest atoms and distances in Å follow each position.
Positions (direct):
Ho1 0.0000 0.5000 0.5000  6 Se 2.85-2.87
Ho2 0.5000 0.0000 0.5000  6 Se 2.85-2.87
Ho3 0.5000 0.5000 0.0000  6 Se 2.85-2.87
Zr1 0.0000 0.0000 0.0000  6 Se 2.75
In1 0.0000 0.0000 0.5000  6 Se 3.25-3.26
In2 0.0000 0.5000 0.0000  6 Se 3.25-3.26
In3 0.5000 0.0000 0.0000  6 Se 3.25-3.26
Se1 0.2278 0.2278 0.7483  1 Zr 2.75, 2 Ho 2.87
Se2 0.2278 0.7483 0.2278  1 Zr 2.75, 2 Ho 2.87
Se3 0.2517 0.7722 0.7722  1 Zr 2.75, 2 Ho 2.87
Se4 0.2638 0.2638 0.2638  3 Ho 2.85
Se5 0.7362 0.7362 0.7362  3 Ho 2.85
Se6 0.7483 0.2278 0.2278  1 Zr 2.75, 2 Ho 2.87
Se7 0.7722 0.2517 0.7722  1 Zr 2.75, 2 Ho 2.87
Se8 0.7722 0.7722 0.2517  1 Zr 2.75, 2 Ho 2.87

Results
The total energy is -5.20 eV/atom. The uncorrected formation energy comes out at -1311 meV per atom. The calculation puts the size of the total moment at 0.000 μB/f.u. Its density is 5.86 g/cm3. As for the symmetry: R-3m (166).



No. 4
Ho2InSi: relaxed, PBE.

Unit cell a=3.7256 b=3.7256 c=6.8607 alpha=90.00 beta=90.00 gamma=90.00
Closest atoms and distances in Å follow each position.
Positions (direct):
Ho1 0.0000 0.0000 0.2244  4 Si 3.05, 1 Ho 3.08, 4 In 3.24
Ho2 0.0000 0.0000 0.7756  4 Si 3.05, 1 Ho 3.08, 4 In 3.24
In1 0.5000 0.5000 0.5000  8 Ho 3.24, 2 Si 3.43
Si1 0.5000 0.5000 0.0000  8 Ho 3.05

Results
The total energy is -4.77 eV/atom. The uncorrected formation energy comes out at -440 meV per atom. The calculation puts the size of the total moment at 0.000 μB/f.u. Its density is 8.24 g/cm3. As for the symmetry: P4/mmm (123).



No. 5
HoInSi: relaxed, PBE.

Unit cell a=8.4937 b=8.0579 c=6.8589 alpha=68.88 beta=62.25 gamma=48.87
Closest atoms and distances in Å follow each position.
Positions (direct):
Ho1 0.0373 0.0373 0.7127  4 Si 2.85-2.88
Ho2 0.2873 0.2873 0.9627  4 Si 2.85-2.88
Ho3 0.7127 0.7127 0.0373  4 Si 2.85-2.88
Ho4 0.9627 0.9627 0.2873  4 Si 2.85-2.88
In1 0.0000 0.5000 0.5000  2 Si 2.60
In2 0.5000 0.0000 0.5000  2 Si 2.60
In3 0.5000 0.5000 0.0000  2 Si 2.60
In4 0.5000 0.5000 0.5000  2 Si 2.60
Si1 0.0814 0.6686 0.6686  2 In 2.60, 4 Ho 2.85-2.88
Si2 0.3314 0.9186 0.9186  2 In 2.60, 4 Ho 2.85-2.88
Si3 0.6686 0.0814 0.0814  2 In 2.60, 4 Ho 2.85-2.88
Si4 0.9186 0.3314 0.3314  2 In 2.60, 4 Ho 2.85-2.88

Results
The total energy is -4.43 eV/atom. The uncorrected formation energy comes out at -180 meV per atom. The calculation puts the size of the total moment at 0.000 μB/f.u. Its density is 6.56 g/cm3. As for the symmetry: Fddd (70).



No. 6
Ho5In2Si2: relaxed, PBE.

Unit cell a=8.7492 b=8.7492 c=7.6148 alpha=90.00 beta=90.00 gamma=51.43
Closest atoms and distances in Å follow each position.
Positions (direct):
Ho1 0.0000 0.0000 0.0000  4 Si 3.03-3.04, 4 Ho 3.39
Ho2 0.0600 0.6920 0.6805  3 Si 2.90-3.05, 3 In 3.12-3.20
Ho3 0.1920 0.5600 0.1805  3 Si 2.90-3.05, 3 In 3.12-3.20
Ho4 0.3080 0.9400 0.6805  3 Si 2.90-3.05, 3 In 3.12-3.20
Ho5 0.4400 0.8080 0.1805  3 Si 2.90-3.05, 3 In 3.12-3.20
Ho6 0.5000 0.5000 0.5000  4 Si 3.03-3.04, 4 Ho 3.39
Ho7 0.5600 0.1920 0.8195  3 Si 2.90-3.05, 3 In 3.12-3.20
Ho8 0.6920 0.0600 0.3195  3 Si 2.90-3.05, 3 In 3.12-3.20
Ho9 0.8080 0.4400 0.8195  3 Si 2.90-3.05, 3 In 3.12-3.20
Ho10 0.9400 0.3080 0.3195  3 Si 2.90-3.05, 3 In 3.12-3.20
In1 0.2218 0.2218 0.0000  7 Ho 3.12-3.50
In2 0.2782 0.2782 0.5000  7 Ho 3.12-3.50
In3 0.7218 0.7218 0.5000  7 Ho 3.12-3.50
In4 0.7782 0.7782 0.0000  7 Ho 3.12-3.50
Si1 0.1177 0.8823 0.3800  1 Si 2.56
Si2 0.3823 0.6177 0.8800  1 Si 2.56
Si3 0.6177 0.3823 0.1200  1 Si 2.56
Si4 0.8823 0.1177 0.6200  1 Si 2.56

Results
The total energy is -4.93 eV/atom. The uncorrected formation energy comes out at -572 meV per atom. The calculation puts the size of the total moment at 0.000 μB/f.u. Its density is 8.09 g/cm3. As for the symmetry: Cmce (64).



No. 7
HoIn2Si: relaxed, PBE.

Unit cell a=4.2937 b=4.2937 c=4.8730 alpha=90.00 beta=90.00 gamma=90.00
Closest atoms and distances in Å follow each position.
Positions (direct):
Ho1 0.0000 0.0000 0.0000  4 Si 3.04, 8 In 3.25
In1 0.0000 0.5000 0.5000  4 In 3.04, 4 Ho 3.25, 4 Si 3.25
In2 0.5000 0.0000 0.5000  4 In 3.04, 4 Ho 3.25, 4 Si 3.25
Si1 0.5000 0.5000 0.0000  4 Ho 3.04, 8 In 3.25

Results
The total energy is -4.15 eV/atom. The uncorrected formation energy comes out at -282 meV per atom. The calculation puts the size of the total moment at 0.000 μB/f.u. Its density is 7.81 g/cm3. As for the symmetry: P4/mmm (123).



No. 8
Ho2InSi: relaxed, PBE.

Unit cell a=8.7024 b=8.7024 c=8.7024 alpha=25.34 beta=25.34 gamma=25.34
Closest atoms and distances in Å follow each position.
Positions (direct):
Ho1 0.2377 0.2377 0.2377  3 Si 2.84
Ho2 0.7623 0.7623 0.7623  3 Si 2.84
In1 0.0000 0.0000 0.0000  6 Ho 3.27
Si1 0.5000 0.5000 0.5000  6 Ho 2.84

Results
The total energy is -4.73 eV/atom. The uncorrected formation energy comes out at -401 meV per atom. The calculation puts the size of the total moment at 0.000 μB/f.u. Its density is 7.39 g/cm3. As for the symmetry: R-3m (166).



Question: What is the density in the fifth record?
Answer: 6.56 g/cm3



Repeat the first record exactly.
Ho3UIn3Se8: relaxed, PBE.

Unit cell a=9.1194 b=9.1194 c=9.1194 alpha=53.70 beta=53.70 gamma=53.70
Closest atoms and distances in Å follow each position.
Positions (direct):
Ho1 0.0000 0.5000 0.5000  6 Se 2.87
Ho2 0.5000 0.0000 0.5000  6 Se 2.87
Ho3 0.5000 0.5000 0.0000  6 Se 2.87
U1 0.0000 0.0000 0.0000  6 Se 2.84
In1 0.0000 0.0000 0.5000  6 Se 3.30
In2 0.0000 0.5000 0.0000  6 Se 3.30
In3 0.5000 0.0000 0.0000  6 Se 3.30
Se1 0.2334 0.2334 0.7380  1 U 2.84, 2 Ho 2.87
Se2 0.2334 0.7380 0.2334  1 U 2.84, 2 Ho 2.87
Se3 0.2620 0.7666 0.7666  1 U 2.84, 2 Ho 2.87
Se4 0.2646 0.2646 0.2646  3 Ho 2.87
Se5 0.7354 0.7354 0.7354  3 Ho 2.87
Se6 0.7380 0.2334 0.2334  1 U 2.84, 2 Ho 2.87
Se7 0.7666 0.2620 0.7666  1 U 2.84, 2 Ho 2.87
Se8 0.7666 0.7666 0.2620  1 U 2.84, 2 Ho 2.87

Results
The total energy is -5.34 eV/atom. The uncorrected formation energy comes out at -1263 meV per atom. The calculation puts the size of the total moment at 1.999 μB/f.u. Its density is 6.21 g/cm3. As for the symmetry: R-3m (166).